Entry 1:
A PBEsol-optimized structure of LiZn2Hg. Source: the Alexandria database, functional meta-GGA SCAN. Values from VASP.

```
&SYSTEM
  ibrav = 0, nat = 4, ntyp = 3
/
ATOMIC_SPECIES
Li 6.94 Li.upf
Zn 65.41 Zn.upf
Hg 200.59 Hg.upf
CELL_PARAMETERS angstrom
-2.1114 2.1114 3.5008
2.1114 -2.1114 3.5008
2.1114 2.1114 -3.5008
ATOMIC_POSITIONS angstrom
Li 0.0000 0.0000 0.0000
Zn 2.1114 0.0000 1.7504
Zn 0.0000 0.0000 3.5008
Hg 0.0000 2.1114 1.7504
```

Crystal system = tetragonal

Entry 2:
A PBEsol-optimized structure of Li2ZnHg. Source: the Alexandria database, functional meta-GGA SCAN. Values from VASP.

```
&SYSTEM
  ibrav = 0, nat = 4, ntyp = 3
/
ATOMIC_SPECIES
Li 6.94 Li.upf
Zn 65.41 Zn.upf
Hg 200.59 Hg.upf
CELL_PARAMETERS angstrom
3.1780 0.0000 0.0000
0.0000 4.4393 0.0000
0.0000 0.0000 4.4393
ATOMIC_POSITIONS angstrom
Li 0.0000 0.0000 0.0000
Li 0.0000 2.2196 2.2105
Zn 1.5890 2.2196 4.4293
Hg 1.5890 0.0000 2.2196
```

Crystal system = orthorhombic

Entry 3:
A PBEsol-optimized structure of LiZr2Hg. Source: the Alexandria database, functional meta-GGA SCAN. Values from VASP.

```
&SYSTEM
  ibrav = 0, nat = 4, ntyp = 3
/
ATOMIC_SPECIES
Li 6.94 Li.upf
Zr 91.22 Zr.upf
Hg 200.59 Hg.upf
CELL_PARAMETERS angstrom
1.5029 0.8677 10.7905
-1.5029 0.8677 10.7905
0.0000 -1.7354 10.7905
ATOMIC_POSITIONS angstrom
Li 0.0000 0.0000 0.0000
Zr 0.0000 0.0000 7.9806
Zr 0.0000 0.0000 24.3910
Hg 0.0000 0.0000 16.1858
```

Crystal system = trigonal

Entry 4:
A PBEsol-optimized structure of LiZr2Hg. Source: the Alexandria database, functional meta-GGA SCAN. Values from VASP.

```
&SYSTEM
  ibrav = 0, nat = 4, ntyp = 3
/
ATOMIC_SPECIES
Li 6.94 Li.upf
Zr 91.22 Zr.upf
Hg 200.59 Hg.upf
CELL_PARAMETERS angstrom
3.4350 0.0000 0.0000
0.0000 4.5245 0.0000
0.0000 0.0000 5.0091
ATOMIC_POSITIONS angstrom
Li 0.0000 0.0000 0.0000
Zr 0.0000 2.2622 2.5045
Zr 1.7175 0.0000 2.5045
Hg 1.7175 2.2622 0.0000
```

Crystal system = orthorhombic

Calculated energy of formation from the pure elements in order - -0.172 -0.307 0.089 -0.094 eV/atom
Calculated total DFT energy (no corrections) in order - -98.28 -87.69 -131.60 -132.33 eV per cell